Computed, not measured: a relaxed CdWS2 crystal at the GGA-PBE level of DFT.

Output
For the energy, the calculation gives -5.40 eV per atom. The value obtained for the formation energy without anion corrections is 0.132 eV/atom. As for the space-group type: I-42d (122). The magnetic moment is 0.00 μB/f.u.

a b c (Å): 6.959 6.959 6.959
angles (deg): 131.06 131.06 71.72
Atoms (fractional coordinates):
Cd 0.000 0.000 0.000
Cd 0.750 0.250 0.500
W 0.250 0.750 0.500
W 0.500 0.500 0.000
S 0.183 0.625 0.058
S 0.375 0.433 0.558
S 0.567 0.125 0.942
S 0.875 0.817 0.442